No. 1
# TbSm5Sc2 | Alexandria | GGA-PBE | relaxed
# - Relative energy among the computed polymorphs: 0 meV/atom
# - Spin magnetization: 0.000 μB per atom
# - DFT formation energy: 0.037 eV/atom
data_TbSm5Sc2
_chemical_formula_sum 'Tb2 Sm10 Sc4'
_space_group_name_H-M_alt 'P b a m'
_space_group_IT_number 55
_cell_length_a 7.0456
_cell_length_b 14.0925
_cell_length_c 4.9865
_cell_angle_alpha 90.00
_cell_angle_beta 90.00
_cell_angle_gamma 90.00
loop_
_space_group_symop_operation_xyz
'x,y,z'
'-x,-y,-z'
'-x,-y,z'
'x,y,-z'
'x+1/2,-y+1/2,-z'
'-x+1/2,y+1/2,z'
'-x+1/2,y+1/2,-z'
'x+1/2,-y+1/2,z'
loop_
_atom_site_label
_atom_site_type_symbol
_atom_site_fract_x
_atom_site_fract_y
_atom_site_fract_z
Tb1 Tb 0.0000 0.0000 0.0000
Sm1 Sm 0.0000 0.5000 0.0000
Sm2 Sm 0.0014 0.2494 0.0000
Sm3 Sm 0.2484 0.8757 0.5000
Sc1 Sc 0.2494 0.6245 0.5000

***

No. 2
# Tb5SmSc5 | Alexandria | GGA-PBE | relaxed
# - Spin magnetization: 0.214 μB per atom
# - DFT formation energy: 0.237 eV/atom
data_Tb5SmSc5
_chemical_formula_sum 'Tb5 Sm1 Sc5'
_space_group_name_H-M_alt 'P -6 m 2'
_space_group_IT_number 187
_space_group_name_Hall 'P -6 2'
_cell_length_a 5.7990
_cell_length_b 5.7990
_cell_length_c 11.3847
_cell_angle_alpha 90.00
_cell_angle_beta 90.00
_cell_angle_gamma 120.00
loop_
_atom_site_label
_atom_site_type_symbol
_atom_site_fract_x
_atom_site_fract_y
_atom_site_fract_z
Tb1 Tb 0.0000 0.0000 0.0000
Tb2 Tb 0.3333 0.6667 0.3214
Tb3 Tb 0.6667 0.3333 0.1603
Sm1 Sm 0.3333 0.6667 0.0000
Sc1 Sc 0.0000 0.0000 0.2696
Sc2 Sc 0.3283 0.1642 0.5000

***

No. 3
# Tb5Sm8Sc | Alexandria | GGA-PBE | relaxed
# - Spin magnetization: 0.000 μB per atom
# - DFT formation energy: 0.262 eV/atom
data_Tb5Sm8Sc
_chemical_formula_sum 'Tb10 Sm16 Sc2'
_space_group_name_H-M_alt 'I -4'
_space_group_IT_number 82
_cell_length_a 9.6261
_cell_length_b 9.6261
_cell_length_c 10.1252
_cell_angle_alpha 90.00
_cell_angle_beta 90.00
_cell_angle_gamma 90.00
loop_
_space_group_symop_operation_xyz
'x,y,z'
'y,-x,-z'
'-x,-y,z'
'-y,x,-z'
'x+1/2,y+1/2,z+1/2'
'y+1/2,-x+1/2,-z+1/2'
'-x+1/2,-y+1/2,z+1/2'
'-y+1/2,x+1/2,-z+1/2'
loop_
_atom_site_label
_atom_site_type_symbol
_atom_site_fract_x
_atom_site_fract_y
_atom_site_fract_z
Tb1 Tb 0.0000 0.0000 0.0000
Tb2 Tb 0.1046 0.2069 0.4236
Sm1 Sm 0.0680 0.3275 0.0920
Sm2 Sm 0.0850 0.1851 0.7541
Sc1 Sc 0.0000 0.5000 0.7500

***

No. 4
# Tb3SmSc | Alexandria | GGA-PBE | relaxed
# - Relative energy among the computed polymorphs: 0 meV/atom
# - Spin magnetization: 0.000 μB per atom
# - DFT formation energy: 0.035 eV/atom
data_Tb3SmSc
_chemical_formula_sum 'Tb12 Sm4 Sc4'
_space_group_name_H-M_alt 'C 1 2/m 1'
_space_group_IT_number 12
_cell_length_a 17.9658
_cell_length_b 4.9394
_cell_length_c 7.0488
_cell_angle_alpha 90.00
_cell_angle_beta 101.28
_cell_angle_gamma 90.00
loop_
_space_group_symop_operation_xyz
'x,y,z'
'-x,-y,-z'
'-x,y,-z'
'x,-y,z'
'x+1/2,y+1/2,z'
'-x+1/2,-y+1/2,-z'
'-x+1/2,y+1/2,-z'
'x+1/2,-y+1/2,z'
loop_
_atom_site_label
_atom_site_type_symbol
_atom_site_fract_x
_atom_site_fract_y
_atom_site_fract_z
Tb1 Tb 0.0006 0.0000 0.2559
Tb2 Tb 0.0997 0.5000 0.0516
Tb3 Tb 0.1990 0.0000 0.3534
Sm1 Sm 0.1972 0.0000 0.8453
Sc1 Sc 0.0975 0.5000 0.5478

***

No. 5
# Tb2Sm7Sc2 | Alexandria | GGA-PBE | relaxed
# - Relative energy among the computed polymorphs: 0 meV/atom
# - Spin magnetization: 0.000 μB per atom
# - DFT formation energy: 0.177 eV/atom
data_Tb2Sm7Sc2
_chemical_formula_sum 'Tb4 Sm14 Sc4'
_space_group_name_H-M_alt 'I m m 2'
_space_group_IT_number 44
_cell_length_a 3.5810
_cell_length_b 21.3540
_cell_length_c 9.4240
_cell_angle_alpha 90.00
_cell_angle_beta 90.00
_cell_angle_gamma 90.00
loop_
_space_group_symop_operation_xyz
'x,y,z'
'-x,-y,z'
'-x,y,z'
'x,-y,z'
'x+1/2,y+1/2,z+1/2'
'-x+1/2,-y+1/2,z+1/2'
'-x+1/2,y+1/2,z+1/2'
'x+1/2,-y+1/2,z+1/2'
loop_
_atom_site_label
_atom_site_type_symbol
_atom_site_fract_x
_atom_site_fract_y
_atom_site_fract_z
Tb1 Tb 0.0000 0.0000 0.0000
Tb2 Tb 0.0000 0.5000 0.1696
Sm1 Sm 0.0000 0.0000 0.3450
Sm2 Sm 0.0000 0.1226 0.8006
Sm3 Sm 0.0000 0.3501 0.9891
Sm4 Sm 0.0000 0.3587 0.6173
Sc1 Sc 0.0000 0.2512 0.2920

***

No. 6
# TbSmSc4 | Alexandria | GGA-PBE | relaxed
# - Relative energy among the computed polymorphs: 25 meV/atom
# - Spin magnetization: 0.000 μB per atom
# - DFT formation energy: 0.069 eV/atom
data_TbSmSc4
_chemical_formula_sum 'Tb4 Sm4 Sc16'
_space_group_name_H-M_alt 'C m c m'
_space_group_IT_number 63
_space_group_name_Hall '-C 2c 2'
_cell_length_a 6.5544
_cell_length_b 18.5398
_cell_length_c 5.3430
_cell_angle_alpha 90.00
_cell_angle_beta 90.00
_cell_angle_gamma 90.00
loop_
_atom_site_label
_atom_site_type_symbol
_atom_site_fract_x
_atom_site_fract_y
_atom_site_fract_z
Tb1 Tb 0.0000 0.1258 0.2500
Sm1 Sm 0.0000 0.3759 0.7500
Sc1 Sc 0.2479 0.0417 0.7500
Sc2 Sc 0.2494 0.2084 0.7500

***

No. 7
# Tb6Sm12Sc | Alexandria | GGA-PBE | relaxed
# - Relative energy among the computed polymorphs: 247 meV/atom
# - Spin magnetization: 0.000 μB per atom
# - DFT formation energy: 0.389 eV/atom
data_Tb6Sm12Sc
_chemical_formula_sum 'Tb18 Sm36 Sc3'
_space_group_name_H-M_alt 'R -3 m'
_space_group_IT_number 166
_space_group_name_Hall '-R 3 2"'
_cell_length_a 15.9952
_cell_length_b 15.9952
_cell_length_c 8.9994
_cell_angle_alpha 90.00
_cell_angle_beta 90.00
_cell_angle_gamma 120.00
loop_
_atom_site_label
_atom_site_type_symbol
_atom_site_fract_x
_atom_site_fract_y
_atom_site_fract_z
Tb1 Tb 0.0779 0.5389 0.1819
Sm1 Sm 0.0000 0.3908 0.5000
Sm2 Sm 0.0827 0.1655 0.1697
Sc1 Sc 0.0000 0.0000 0.0000

***

No. 8
# TbSmSc2 | Alexandria | GGA-PBE | relaxed
# - Relative energy among the computed polymorphs: 31 meV/atom
# - Spin magnetization: 0.000 μB per atom
# - DFT formation energy: 0.081 eV/atom
data_TbSmSc2
_chemical_formula_sum 'Tb4 Sm4 Sc8'
_space_group_name_H-M_alt 'F m -3 m'
_space_group_IT_number 225
_space_group_name_Hall '-F 4 2 3'
_cell_length_a 7.6956
_cell_length_b 7.6956
_cell_length_c 7.6956
_cell_angle_alpha 90.00
_cell_angle_beta 90.00
_cell_angle_gamma 90.00
loop_
_atom_site_label
_atom_site_type_symbol
_atom_site_fract_x
_atom_site_fract_y
_atom_site_fract_z
Tb1 Tb 0.0000 0.0000 0.0000
Sm1 Sm 0.0000 0.0000 0.5000
Sc1 Sc 0.2500 0.2500 0.2500